# BaZn2PtI (PBE, relaxed)
data_BaZn2PtI
_space_group_name_H-M_alt 'P 4/m m m'
_space_group_IT_number 123
_space_group_name_Hall '-P 4 2'
_cell_length_a 5.0074
_cell_length_b 5.0074
_cell_length_c 6.1521
_cell_angle_alpha 90.00
_cell_angle_beta 90.00
_cell_angle_gamma 90.00
loop_
_atom_site_label
_atom_site_type_symbol
_atom_site_fract_x
_atom_site_fract_y
_atom_site_fract_z
Ba1 Ba 0.0000 0.0000 0.0000
Zn1 Zn 0.0000 0.5000 0.5000
Pt1 Pt 0.0000 0.0000 0.5000
I1 I 0.5000 0.5000 0.0000
# VASP energy (eV per atom): -3.109
# ΔE_f (raw) (eV/f.u.): -3.483